Density functional theory data (PBE) for a geometry-optimized La2Ho structure.

abc: 3.7016 3.7016 15.3712
angles: 90.00 90.00 90.00
Last column: nearest neighbours and their distance in Å.
Sites, in units of the cell vectors:
La 0.0000 0.0000 0.1642  4 Ho 3.64, 8 La 3.70-3.72
La 0.0000 0.0000 0.8358  4 Ho 3.64, 8 La 3.70-3.72
La 0.5000 0.5000 0.3358  4 Ho 3.64, 8 La 3.70-3.72
La 0.5000 0.5000 0.6642  4 Ho 3.64, 8 La 3.70-3.72
Ho 0.0000 0.0000 0.5000  8 La 3.64, 4 Ho 3.70
Ho 0.5000 0.5000 0.0000  8 La 3.64, 4 Ho 3.70

Its distance to the lowest polymorph of the same formula is 0.0 kJ per mole of atoms.

Density functional theory data (PBE) for a geometry-optimized LiTaPb2 structure.

abc: 3.2699 5.6732 9.5518
angles: 90.00 90.00 90.00
Last column: nearest neighbours and their distance in Å.
Sites, in units of the cell vectors:
Li 0.0000 0.0000 0.0000  4 Pb 2.78
Li 0.5000 0.5000 0.5000  4 Pb 2.78
Ta 0.0000 0.0000 0.5000  4 Pb 3.01, 2 Ta 3.27, 4 Li 3.27
Ta 0.5000 0.5000 0.0000  4 Pb 3.01, 2 Ta 3.27, 4 Li 3.27
Pb 0.0000 0.5000 0.2647  2 Li 2.78, 2 Ta 3.01
Pb 0.0000 0.5000 0.7353  2 Li 2.78, 2 Ta 3.01
Pb 0.5000 0.0000 0.2353  2 Li 2.78, 2 Ta 3.01
Pb 0.5000 0.0000 0.7647  2 Li 2.78, 2 Ta 3.01

As for the energy: -4.83 eV per atom.

Density functional theory data (PBE) for a geometry-optimized Pr2Nd4Sc structure.

abc: 6.2860 8.1030 9.6147
angles: 89.92 89.97 74.99
Last column: nearest neighbours and their distance in Å.
Sites, in units of the cell vectors:
Pr 0.0000 0.0000 0.0000  7 Nd 3.54-3.69, 2 Sc 3.60-3.62, 3 Pr 3.63-3.70
Pr 0.1356 0.0810 0.3622  7 Nd 3.55-3.69, 2 Sc 3.60-3.62, 3 Pr 3.62-3.69
Pr 0.2895 0.1452 0.7169  8 Nd 3.54-3.69, 2 Sc 3.60-3.62, 2 Pr 3.62-3.63
Pr 0.8467 0.4371 0.1449  8 Nd 3.54-3.69, 2 Sc 3.59-3.62, 2 Pr 3.64-3.70
Nd 0.0001 0.5013 0.5003  3 Pr 3.55-3.64, 2 Sc 3.60-3.62, 7 Nd 3.62-3.68
Nd 0.1364 0.5807 0.8616  3 Pr 3.54-3.68, 2 Sc 3.60-3.62, 7 Nd 3.62-3.68
Nd 0.2888 0.6450 0.2173  4 Pr 3.54-3.69, 2 Sc 3.59-3.62, 6 Nd 3.62-3.69
Nd 0.4274 0.7134 0.5750  8 Nd 3.54-3.69, 2 Sc 3.58-3.63, 2 Pr 3.65-3.68
Nd 0.4276 0.2141 0.0750  4 Nd 3.55-3.68, 2 Sc 3.60-3.63, 6 Pr 3.62-3.69
Nd 0.7084 0.8674 0.2875  6 Nd 3.55-3.69, 2 Sc 3.60-3.64, 4 Pr 3.62-3.64
Nd 0.7087 0.3680 0.7867  6 Nd 3.54-3.67, 2 Sc 3.58-3.63, 4 Pr 3.62-3.69
Nd 0.8470 0.9357 0.6450  4 Pr 3.54-3.68, 2 Sc 3.60-3.62, 6 Nd 3.62-3.69
Sc 0.5679 0.2914 0.4312  8 Nd 3.58-3.63, 4 Pr 3.60-3.62
Sc 0.5682 0.7902 0.9308  8 Nd 3.58-3.64, 4 Pr 3.59-3.62

Its distance to the lowest polymorph of the same formula is 0.0 kJ per mole of atoms.